(1)
A plane-wave DFT calculation with PBE was carried out for crystalline RbCd2In6 at its relaxed geometry.

Formation energy ... -0.04 eV/atom
Total moment ... 0.00 μB/cell
E ... -19.59 eV per cell

Cell: 5.4791 5.4791 9.1049 Å, 90.00 90.00 90.00°
With the nearest neighbours (Å) after each atom.
Space group P4/mmm (No. 123)
One atom of each set of equivalent atoms:
Rb (0.0000, 0.0000, 0.0000)  8 In 3.95, 8 Cd 4.12
Cd (0.5000, 0.5000, 0.1544)  1 Cd 2.81, 5 In 3.10-3.15
In (0.0000, 0.0000, 0.5000)  8 In 3.22
In (0.0000, 0.5000, 0.3132)  2 Cd 3.10, 5 In 3.22-3.40
In (0.5000, 0.5000, 0.5000)  2 Cd 3.15, 8 In 3.22

(2)
A plane-wave DFT calculation with PBE was carried out for crystalline Rb4Cd4In at its relaxed geometry.

Formation energy ... 0.00 eV/atom
Total moment ... 0.00 μB/cell
E ... -20.54 eV per cell

Cell: 10.7574 10.7574 6.9190 Å, 90.00 90.00 90.00°
With the nearest neighbours (Å) after each atom.
Space group P4_2/n (No. 86, origin choice 2)
One atom of each set of equivalent atoms:
Rb (0.0650, 0.8418, 0.1255)  1 In 3.63, 4 Cd 3.81-4.05, 1 Rb 4.07
Cd (0.1022, 0.1832, 0.3903)  1 In 3.04, 2 Cd 3.14
In (0.2500, 0.2500, 0.7500)  4 Cd 3.04

(3)
A plane-wave DFT calculation with PBE was carried out for crystalline Rb2CdIn2 at its relaxed geometry.

Relative energy among the computed polymorphs ... 10 meV per atom
Formation energy ... 0.00 eV/atom
Total moment ... 0.00 μB/cell
E ... -33.37 eV per cell

Cell: 7.4775 11.2344 9.8711 Å, 90.00 104.42 90.00°
With the nearest neighbours (Å) after each atom.
Space group C2/m (No. 12)
One atom of each set of equivalent atoms:
Rb (0.2046, 0.1705, 0.2038)  2 Cd 3.63-3.82, 3 In 3.80-4.03, 1 Rb 3.83
Cd (0.0000, 0.1434, 0.5000)  2 In 3.07, 1 Cd 3.22
In (0.1394, 0.5000, 0.4131)  2 In 2.97-3.01, 2 Cd 3.07
In (0.1616, 0.5000, 0.1163)  2 In 2.89-2.97

(4)
A plane-wave DFT calculation with PBE was carried out for crystalline RbCd2In2 at its relaxed geometry.

Relative energy among the computed polymorphs ... 52 meV per atom
Formation energy ... -0.02 eV/atom
Total moment ... 0.00 μB/cell
E ... -16.74 eV per cell

Cell: 9.4720 9.4720 3.2617 Å, 90.00 90.00 90.00°
With the nearest neighbours (Å) after each atom.
Space group P4/mbm (No. 127)
One atom of each set of equivalent atoms:
Rb (0.0000, 0.0000, 0.0000)  2 Rb 3.26
Cd (0.1394, 0.3606, 0.0000)  6 In 3.19-3.25, 2 Cd 3.26
In (0.1504, 0.6504, 0.5000)  6 Cd 3.19-3.25, 2 In 3.26

(5)
A plane-wave DFT calculation with PBE was carried out for crystalline Rb4Cd3In2 at its relaxed geometry.

Formation energy ... -0.05 eV/atom
Total moment ... 0.00 μB/cell
E ... -25.07 eV per cell

Cell: 18.8899 4.9584 8.8657 Å, 90.00 105.66 90.00°
With the nearest neighbours (Å) after each atom.
Space group C2/m (No. 12)
One atom of each set of equivalent atoms:
Rb (0.0829, 0.0000, 0.4010)  2 In 3.81-3.92, 4 Cd 3.97-4.12, 1 Rb 3.98
Rb (0.2349, 0.5000, 0.1879)  3 In 3.93-4.00, 4 Cd 3.97-4.30, 3 Rb 4.28-4.31
Cd (0.0000, 0.5000, 0.0000)  4 In 3.00, 2 Cd 3.17
Cd (0.0961, 0.5000, 0.7566)  2 In 3.11, 1 Cd 3.17
In (0.0822, 0.0000, 0.9581)  4 Cd 3.00-3.11

(6)
A plane-wave DFT calculation with PBE was carried out for crystalline RbCd4In at its relaxed geometry.

Relative energy among the computed polymorphs ... 0 meV per atom
Formation energy ... -0.02 eV/atom
Total moment ... 0.00 μB/cell
E ... -29.96 eV per cell

Cell: 9.7538 18.9674 3.9581 Å, 90.00 90.00 90.00°
With the nearest neighbours (Å) after each atom.
Space group Pbam (No. 55)
One atom of each set of equivalent atoms:
Rb (0.1237, 0.1520, 0.0000)  14 Cd 3.76-4.04, 2 Rb 3.96
Cd (0.0260, 0.6941, 0.5000)  3 Cd 2.87-3.06
Cd (0.1185, 0.5485, 0.5000)  3 Cd 2.90-2.95
Cd (0.1311, 0.9662, 0.5000)  3 Cd 2.86-3.05, 2 In 3.20
Cd (0.2129, 0.8109, 0.5000)  3 Cd 2.87-3.06, 2 In 3.12
In (0.1347, 0.4113, 0.0000)  10 Cd 3.12-3.27